Record 1
An optimized crystal structure of Dy3ZrAl8. Source: Alexandria, functional PBE-GGA.

Values from the calculation:
total magnetization	0.0	μB/f.u.
formation enthalpy at 0 K	-0.512	eV per atom
E above lowest polymorph	0.000	eV per atom
SG	R3m (160)

Unit cell a=9.534 b=9.534 c=9.534 alpha=33.50 beta=33.50 gamma=33.50
Positions (direct):
Dy1 0.000 0.000 0.000
Dy2 0.125 0.125 0.125
Dy3 0.501 0.501 0.501
Zr1 0.626 0.626 0.626
Al1 0.060 0.562 0.562
Al2 0.064 0.064 0.565
Al3 0.064 0.565 0.064
Al4 0.313 0.313 0.313
Al5 0.562 0.060 0.562
Al6 0.562 0.562 0.060
Al7 0.565 0.064 0.064
Al8 0.813 0.813 0.813

Record 2
An optimized crystal structure of DyZr2Al6. Source: Alexandria, functional PBE-GGA.

Values from the calculation:
total magnetization	0.0	μB/f.u.
formation enthalpy at 0 K	-0.289	eV per atom
E above lowest polymorph	0.155	eV per atom
SG	Immm (71)

Unit cell a=7.710 b=7.710 c=7.710 alpha=148.07 beta=127.60 gamma=62.69
Positions (direct):
Dy1 0.000 0.000 0.000
Zr1 0.383 0.883 0.500
Zr2 0.617 0.117 0.500
Al1 0.015 0.310 0.706
Al2 0.313 0.500 0.813
Al3 0.396 0.690 0.706
Al4 0.604 0.310 0.294
Al5 0.687 0.500 0.187
Al6 0.985 0.690 0.294

Record 3
An optimized crystal structure of Er5Al6. Source: Alexandria, functional PBE-GGA.

Values from the calculation:
total magnetization	0.0	μB/f.u.
formation enthalpy at 0 K	-0.271	eV per atom
SG	Immm (71)

Unit cell a=8.521 b=8.521 c=8.521 alpha=145.98 beta=131.96 gamma=60.17
Positions (direct):
Er1 0.000 0.000 0.000
Er2 0.158 0.658 0.500
Er3 0.311 0.311 0.000
Er4 0.689 0.689 0.000
Er5 0.842 0.342 0.500
Al1 0.144 0.854 0.290
Al2 0.303 0.500 0.803
Al3 0.436 0.146 0.290
Al4 0.564 0.854 0.710
Al5 0.697 0.500 0.197
Al6 0.856 0.146 0.710

Record 4
An optimized crystal structure of Er3Al4. Source: Alexandria, functional PBE-GGA.

Values from the calculation:
total magnetization	0.0	μB/f.u.
formation enthalpy at 0 K	-0.391	eV per atom
E above lowest polymorph	0.034	eV per atom
SG	P2_1/m (11)

Unit cell a=4.133 b=14.122 c=5.880 alpha=90.00 beta=110.50 gamma=90.00
Positions (direct):
Er1 0.004 0.250 0.009
Er2 0.295 0.600 0.590
Er3 0.295 0.900 0.590
Er4 0.705 0.100 0.410
Er5 0.705 0.400 0.410
Er6 0.996 0.750 0.991
Al1 0.000 0.000 0.000
Al2 0.000 0.500 0.000
Al3 0.281 0.250 0.562
Al4 0.420 0.099 0.839
Al5 0.420 0.401 0.839
Al6 0.580 0.599 0.161
Al7 0.580 0.901 0.161
Al8 0.719 0.750 0.438

Record 5
An optimized crystal structure of ErAl4. Source: Alexandria, functional PBE-GGA.

Values from the calculation:
total magnetization	0.0	μB/f.u.
formation enthalpy at 0 K	-0.322	eV per atom
SG	Imma (74)

Unit cell a=7.812 b=7.812 c=7.812 alpha=146.79 beta=133.46 gamma=58.36
Positions (direct):
Er1 0.361 0.111 0.250
Er2 0.639 0.889 0.750
Al1 0.000 0.500 0.500
Al2 0.137 0.887 0.250
Al3 0.168 0.699 0.469
Al4 0.270 0.301 0.969
Al5 0.500 0.500 0.000
Al6 0.730 0.699 0.031
Al7 0.832 0.301 0.531
Al8 0.863 0.113 0.750

Record 6
An optimized crystal structure of Er5Al2. Source: Alexandria, functional PBE-GGA.

Values from the calculation:
total magnetization	0.0	μB/f.u.
formation enthalpy at 0 K	-0.207	eV per atom
E above lowest polymorph	0.000	eV per atom
SG	C2/c (15)

Unit cell a=8.287 b=8.287 c=9.034 alpha=100.43 beta=100.43 gamma=36.72
Positions (direct):
Er1 0.020 0.523 0.674
Er2 0.123 0.622 0.041
Er3 0.250 0.750 0.750
Er4 0.378 0.877 0.459
Er5 0.477 0.980 0.826
Er6 0.523 0.020 0.174
Er7 0.622 0.123 0.541
Er8 0.750 0.250 0.250
Er9 0.877 0.378 0.959
Er10 0.980 0.477 0.326
Al1 0.173 0.674 0.391
Al2 0.326 0.827 0.109
Al3 0.674 0.173 0.891
Al4 0.827 0.326 0.609

Record 7
An optimized crystal structure of ErAl11. Source: Alexandria, functional PBE-GGA.

Values from the calculation:
total magnetization	0.0	μB/f.u.
formation enthalpy at 0 K	-0.036	eV per atom
SG	I4_1/amd (141)

Unit cell a=8.557 b=8.557 c=8.557 alpha=100.16 beta=100.16 gamma=130.33
Positions (direct):
Er1 0.375 0.625 0.750
Er2 0.625 0.375 0.250
Al1 0.000 0.000 0.000
Al2 0.000 0.000 0.500
Al3 0.000 0.500 0.000
Al4 0.125 0.875 0.250
Al5 0.133 0.556 0.334
Al6 0.133 0.799 0.577
Al7 0.201 0.278 0.334
Al8 0.201 0.867 0.923
Al9 0.278 0.201 0.834
Al10 0.278 0.444 0.077
Al11 0.444 0.278 0.577
Al12 0.444 0.867 0.166
Al13 0.500 0.000 0.500
Al14 0.556 0.133 0.834
Al15 0.556 0.722 0.423
Al16 0.722 0.556 0.923
Al17 0.722 0.799 0.166
Al18 0.799 0.133 0.077
Al19 0.799 0.722 0.666
Al20 0.867 0.201 0.423
Al21 0.867 0.444 0.666
Al22 0.875 0.125 0.750

Record 8
An optimized crystal structure of Er2Al3. Source: Alexandria, functional PBE-GGA.

Values from the calculation:
total magnetization	0.0	μB/f.u.
formation enthalpy at 0 K	-0.406	eV per atom
SG	Cmce (64)

Unit cell a=5.792 b=5.792 c=7.916 alpha=90.00 beta=90.00 gamma=122.99
Positions (direct):
Er1 0.155 0.845 0.902
Er2 0.345 0.655 0.402
Er3 0.655 0.345 0.598
Er4 0.845 0.155 0.098
Al1 0.000 0.000 0.500
Al2 0.147 0.353 0.750
Al3 0.353 0.147 0.250
Al4 0.500 0.500 0.000
Al5 0.647 0.853 0.750
Al6 0.853 0.647 0.250

Record 9
An optimized crystal structure of Er3Al. Source: Alexandria, functional PBE-GGA.

Values from the calculation:
total magnetization	0.0	μB/f.u.
formation enthalpy at 0 K	-0.201	eV per atom
SG	P6_3/mmc (194)

Unit cell a=6.753 b=6.753 c=5.276 alpha=90.00 beta=90.00 gamma=120.00
Positions (direct):
Er1 0.174 0.348 0.250
Er2 0.174 0.826 0.250
Er3 0.348 0.174 0.750
Er4 0.652 0.826 0.250
Er5 0.826 0.174 0.750
Er6 0.826 0.652 0.750
Al1 0.333 0.667 0.750
Al2 0.667 0.333 0.250

Record 10
An optimized crystal structure of ErAl4. Source: Alexandria, functional PBE-GGA.

Values from the calculation:
total magnetization	0.0	μB/f.u.
formation enthalpy at 0 K	0.184	eV per atom
SG	P4/mbm (127)

Unit cell a=9.375 b=9.375 c=5.369 alpha=90.00 beta=90.00 gamma=90.00
Positions (direct):
Er1 0.137 0.363 0.000
Er2 0.363 0.863 0.000
Er3 0.637 0.137 0.000
Er4 0.863 0.637 0.000
Al1 0.000 0.000 0.224
Al2 0.000 0.000 0.776
Al3 0.100 0.600 0.500
Al4 0.111 0.198 0.500
Al5 0.198 0.889 0.500
Al6 0.302 0.389 0.500
Al7 0.389 0.698 0.500
Al8 0.400 0.100 0.500
Al9 0.500 0.500 0.224
Al10 0.500 0.500 0.776
Al11 0.600 0.900 0.500
Al12 0.611 0.302 0.500
Al13 0.698 0.611 0.500
Al14 0.802 0.111 0.500
Al15 0.889 0.802 0.500
Al16 0.900 0.400 0.500

Record 11
An optimized crystal structure of ErAl6. Source: Alexandria, functional PBE-GGA.

Values from the calculation:
total magnetization	0.0	μB/f.u.
formation enthalpy at 0 K	0.558	eV per atom
SG	Im-3m (229)

Unit cell a=6.173 b=6.173 c=6.173 alpha=109.47 beta=109.47 gamma=109.47
Positions (direct):
Er1 0.000 0.000 0.000
Al1 0.250 0.500 0.750
Al2 0.250 0.750 0.500
Al3 0.500 0.250 0.750
Al4 0.500 0.750 0.250
Al5 0.750 0.250 0.500
Al6 0.750 0.500 0.250

Record 12
An optimized crystal structure of Er3Al. Source: Alexandria, functional PBE-GGA.

Values from the calculation:
total magnetization	0.0	μB/f.u.
formation enthalpy at 0 K	-0.150	eV per atom
SG	I4/mmm (139)

Unit cell a=5.863 b=5.863 c=5.863 alpha=133.35 beta=133.35 gamma=68.11
Positions (direct):
Er1 0.000 0.000 0.000
Er2 0.250 0.750 0.500
Er3 0.750 0.250 0.500
Al1 0.500 0.500 0.000

Record 13
An optimized crystal structure of ErAl6. Source: Alexandria, functional PBE-GGA.

Values from the calculation:
total magnetization	0.0	μB/f.u.
formation enthalpy at 0 K	-0.166	eV per atom
SG	P4/nbm (125)

Unit cell a=5.881 b=5.881 c=7.846 alpha=90.00 beta=90.00 gamma=90.00
Positions (direct):
Er1 0.250 0.750 0.000
Er2 0.750 0.250 0.000
Al1 0.077 0.577 0.355
Al2 0.077 0.923 0.645
Al3 0.250 0.250 0.159
Al4 0.250 0.250 0.841
Al5 0.423 0.577 0.645
Al6 0.423 0.923 0.355
Al7 0.577 0.077 0.645
Al8 0.577 0.423 0.355
Al9 0.750 0.750 0.159
Al10 0.750 0.750 0.841
Al11 0.923 0.077 0.355
Al12 0.923 0.423 0.645

Record 14
An optimized crystal structure of Er6Al7. Source: Alexandria, functional PBE-GGA.

Values from the calculation:
total magnetization	0.9	μB/f.u.
formation enthalpy at 0 K	-0.390	eV per atom
SG	R-3m (166)

Unit cell a=10.900 b=10.900 c=10.900 alpha=29.94 beta=29.94 gamma=29.94
Positions (direct):
Er1 0.050 0.050 0.050
Er2 0.150 0.150 0.150
Er3 0.335 0.335 0.335
Er4 0.665 0.665 0.665
Er5 0.850 0.850 0.850
Er6 0.950 0.950 0.950
Al1 0.089 0.597 0.597
Al2 0.403 0.403 0.911
Al3 0.403 0.911 0.403
Al4 0.500 0.500 0.500
Al5 0.597 0.089 0.597
Al6 0.597 0.597 0.089
Al7 0.911 0.403 0.403

Record 15
An optimized crystal structure of Er3Al. Source: Alexandria, functional PBE-GGA.

Values from the calculation:
total magnetization	0.0	μB/f.u.
formation enthalpy at 0 K	-0.198	eV per atom
SG	Immm (71)

Unit cell a=6.450 b=6.450 c=6.450 alpha=146.78 beta=132.21 gamma=59.44
Positions (direct):
Er1 0.000 0.000 0.000
Er2 0.283 0.783 0.500
Er3 0.717 0.217 0.500
Al1 0.500 0.500 0.000

Record 16
An optimized crystal structure of ErAl. Source: Alexandria, functional PBE-GGA.

Values from the calculation:
total magnetization	0.0	μB/f.u.
formation enthalpy at 0 K	-0.395	eV per atom
SG	Cmmm (65)

Unit cell a=5.234 b=5.234 c=3.356 alpha=90.00 beta=90.00 gamma=97.59
Positions (direct):
Er1 0.223 0.777 0.000
Er2 0.777 0.223 0.000
Al1 0.292 0.292 0.500
Al2 0.708 0.708 0.500

Record 17
An optimized crystal structure of Er3Al. Source: Alexandria, functional PBE-GGA.

Values from the calculation:
total magnetization	0.0	μB/f.u.
formation enthalpy at 0 K	0.090	eV per atom
SG	Pmm2 (25)

Unit cell a=3.330 b=3.350 c=10.206 alpha=90.00 beta=90.00 gamma=90.00
Positions (direct):
Er1 0.000 0.000 0.000
Er2 0.000 0.500 0.446
Er3 0.500 0.500 0.749
Al1 0.500 0.000 0.252

Record 18
An optimized crystal structure of Er5Al2. Source: Alexandria, functional PBE-GGA.

Values from the calculation:
total magnetization	0.0	μB/f.u.
formation enthalpy at 0 K	-0.116	eV per atom
E above lowest polymorph	0.091	eV per atom
SG	Cmcm (63)

Unit cell a=18.784 b=18.784 c=4.614 alpha=90.00 beta=90.00 gamma=166.27
Positions (direct):
Er1 0.036 0.964 0.750
Er2 0.112 0.888 0.250
Er3 0.247 0.753 0.750
Er4 0.326 0.674 0.250
Er5 0.461 0.539 0.750
Er6 0.539 0.461 0.250
Er7 0.674 0.326 0.750
Er8 0.753 0.247 0.250
Er9 0.888 0.112 0.750
Er10 0.964 0.036 0.250
Al1 0.193 0.807 0.250
Al2 0.407 0.593 0.250
Al3 0.593 0.407 0.750
Al4 0.807 0.193 0.750

Record 19
An optimized crystal structure of Er2Al. Source: Alexandria, functional PBE-GGA.

Values from the calculation:
total magnetization	0.0	μB/f.u.
formation enthalpy at 0 K	-0.018	eV per atom
SG	Fm-3m (225)

Unit cell a=5.010 b=5.010 c=5.010 alpha=60.00 beta=60.00 gamma=60.00
Positions (direct):
Er1 0.250 0.250 0.250
Er2 0.750 0.750 0.750
Al1 0.000 0.000 0.000

Record 20
An optimized crystal structure of ErAl4. Source: Alexandria, functional PBE-GGA.

Values from the calculation:
total magnetization	0.0	μB/f.u.
formation enthalpy at 0 K	1.202	eV per atom
SG	Pm-3m (221)

Unit cell a=5.534 b=5.534 c=5.534 alpha=90.00 beta=90.00 gamma=90.00
Positions (direct):
Er1 0.000 0.000 0.000
Al1 0.000 0.000 0.500
Al2 0.000 0.500 0.000
Al3 0.500 0.000 0.000
Al4 0.500 0.500 0.500

Record 21
An optimized crystal structure of Er2Al. Source: Alexandria, functional PBE-GGA.

Values from the calculation:
total magnetization	0.0	μB/f.u.
formation enthalpy at 0 K	-0.299	eV per atom
SG	Pnma (62)

Unit cell a=6.500 b=5.054 c=9.364 alpha=90.00 beta=90.00 gamma=90.00
Positions (direct):
Er1 0.028 0.250 0.210
Er2 0.186 0.250 0.572
Er3 0.314 0.750 0.072
Er4 0.472 0.750 0.710
Er5 0.528 0.250 0.290
Er6 0.686 0.250 0.928
Er7 0.814 0.750 0.428
Er8 0.972 0.750 0.790
Al1 0.208 0.250 0.897
Al2 0.292 0.750 0.397
Al3 0.708 0.250 0.603
Al4 0.792 0.750 0.103

Record 22
An optimized crystal structure of ErAl. Source: Alexandria, functional PBE-GGA.

Values from the calculation:
total magnetization	0.0	μB/f.u.
formation enthalpy at 0 K	-0.208	eV per atom
SG	P2_1/m (11)

Unit cell a=3.374 b=3.344 c=8.247 alpha=90.00 beta=90.06 gamma=90.00
Positions (direct):
Er1 0.249 0.250 0.339
Er2 0.751 0.750 0.661
Al1 0.251 0.250 0.912
Al2 0.749 0.750 0.088